Entry from Alexandria: crystalline PmMgGe at its relaxed geometry (PBE).

Calculated values
polymorph energy (0 for the lowest one): 0 kJ/mol of formula units
total magnetic moment: 0.0 μB/f.u.
E_tot: -4.319 eV/atom
V: 142.5 Å³ per cell
energy relative to the elements: -0.665 eV per atom

a = 8.350 Å, b = 8.350 Å, c = 8.350 Å
α = 150.31°, β = 150.31°, γ = 42.49°
Atoms (fractional coordinates):
Pm 0.168 0.168 0.000
Pm 0.832 0.832 0.000
Mg 0.000 0.500 0.500
Mg 0.500 0.000 0.500
Ge 0.366 0.366 0.000
Ge 0.634 0.634 0.000